First-principles (PBEsol) data for a relaxed structure of MnMo2Ru, as listed in Alexandria.

a = 2.741 Å, b = 3.704 Å, c = 5.435 Å
α = 90.00°, β = 90.00°, γ = 90.00°
Site moments in Bohr magnetons follow the coordinates.
Fractional coordinates of all 4 atoms:
Mn (0.500, 0.500, 0.500)  1.54
Mo (0.000, 0.000, 0.745)  -0.12
Ru (0.500, 0.500, 0.000)  0.14
Mo (0.000, 0.000, 0.255)  -0.12

**Final energy**: -42.74 eV/cell
**V**: 13.8 Å³ per atom
**Energy of formation**: 0.181 eV per atom
**DOS at the Fermi energy**: 5.151 states/eV per cell
**Crystal system**: orthorhombic
**Energy above the most stable polymorph in this dataset**: 4.11 kJ per mole of atoms

First-principles (PBEsol) data for a relaxed structure of Al3CdAg, as listed in Alexandria.

a = 4.844 Å, b = 4.844 Å, c = 4.844 Å
α = 90.00°, β = 90.00°, γ = 90.00°
Fractional coordinates of all 5 atoms:
Cd (0.500, 0.500, 0.500)
Ag (0.000, 0.000, 0.000)
Al (0.000, 0.000, 0.500)
Al (0.500, 0.000, 0.000)
Al (0.000, 0.500, 0.000)

**Final energy**: -14.38 eV/cell
**V**: 22.7 Å³ per atom
**Energy of formation**: 0.480 eV per atom
**DOS at the Fermi energy**: 1.914 states/eV per cell
**Crystal system**: cubic

First-principles (PBEsol) data for a relaxed structure of Zr2TeAu, as listed in Alexandria.

a = 3.406 Å, b = 4.935 Å, c = 4.935 Å
α = 99.75°, β = 90.00°, γ = 90.00°
Fractional coordinates of all 4 atoms:
Te (0.500, 0.000, 0.000)
Zr (0.000, 0.000, 0.500)
Zr (0.000, 0.500, 0.000)
Au (0.500, 0.500, 0.500)

**Formation energy from raw total energies**: -13.6 kcal/mol of atoms
**Final energy**: -27.98 eV/cell
**V**: 20.4 Å³ per atom
**DOS at the Fermi energy**: 2.954 states/eV per cell
**Crystal system**: orthorhombic
**Energy above the most stable polymorph in this dataset**: 0.00 kJ per mole of atoms

Copy entry 3 word for word.
First-principles (PBEsol) data for a relaxed structure of Zr2TeAu, as listed in Alexandria.

a = 3.406 Å, b = 4.935 Å, c = 4.935 Å
α = 99.75°, β = 90.00°, γ = 90.00°
Fractional coordinates of all 4 atoms:
Te (0.500, 0.000, 0.000)
Zr (0.000, 0.000, 0.500)
Zr (0.000, 0.500, 0.000)
Au (0.500, 0.500, 0.500)

**Formation energy from raw total energies**: -13.6 kcal/mol of atoms
**Final energy**: -27.98 eV/cell
**V**: 20.4 Å³ per atom
**DOS at the Fermi energy**: 2.954 states/eV per cell
**Crystal system**: orthorhombic
**Energy above the most stable polymorph in this dataset**: 0.00 kJ per mole of atoms

Q: The lowest DOS at the Fermi energy belongs to which entry?
A: Al3CdAg

Q: What is the DOS at the Fermi energy in the second record?
A: 1.914 states/eV per cell